A plane-wave DFT calculation with GGA-PBEsol was carried out for a geometry-optimized MgW2Cl structure.

Calculated values
**Space group**: Cmm2 (35)
**Energy above the lowest structure with this stoichiometry**: 0.000 eV/atom
**Formation energy from raw total energies**: 193 meV per atom
**Volume**: 17.4 A^3/atom

Cell lengths 2.924, 2.924, 8.891 Å; angles 90.00, 90.00, 113.35 degrees
Atoms (fractional coordinates):
W1 0.500 0.500 0.779
W2 0.000 0.000 0.996
Mg1 0.500 0.500 0.262
Cl1 0.000 0.000 0.462



A plane-wave DFT calculation with GGA-PBEsol was carried out for a geometry-optimized CdIrBr2 structure.

Calculated values
**Space group**: I-42d (122)
**Energy above the lowest structure with this stoichiometry**: 0.000 eV/atom
**Formation energy from raw total energies**: 169 meV per atom
**Volume**: 23.9 A^3/atom

Cell lengths 8.465, 6.552, 8.465 Å; angles 130.24, 90.00, 130.24 degrees
Atoms (fractional coordinates):
Cd1 0.750 0.500 0.250
Cd2 0.500 0.000 0.500
Ir1 0.250 0.500 0.750
Ir2 0.000 0.000 0.000
Br1 0.625 0.750 0.009
Br2 0.991 0.250 0.875
Br3 0.259 0.250 0.375
Br4 0.125 0.750 0.741